# 1
First-principles (PBE) data for a relaxed structure of VGa2TeOs, as listed in Alexandria.

Properties
The electronic total energy comes out at -4.97 eV/atom. The space group is No. 123. Its density of states at the Fermi level is 7.7 states/eV per cell. The formation energy from raw total energies is 21.72 kcal/mol of atoms.

abc: 4.6895 4.6895 5.4977
angles: 90.00 90.00 90.00
Fractional positions:
V 0.0000 0.0000 0.0000
Ga 0.0000 0.5000 0.5000
Ga 0.5000 0.0000 0.5000
Te 0.5000 0.5000 0.0000
Os 0.5000 0.5000 0.5000

---

# 2
First-principles (PBE) data for a relaxed structure of GaTe2OsW, as listed in Alexandria.

Properties
The electronic total energy comes out at -4.68 eV/atom. The space group is No. 123. Its density of states at the Fermi level is 8.6 states/eV per cell. The formation energy from raw total energies is 46.57 kcal/mol of atoms.

abc: 5.0910 5.0910 4.5251
angles: 90.00 90.00 90.00
Fractional positions:
Ga 0.0000 0.0000 0.0000
Te 0.0000 0.5000 0.0000
Te 0.5000 0.0000 0.0000
Os 0.0000 0.0000 0.5000
W 0.5000 0.5000 0.5000

---

# 3
First-principles (PBE) data for a relaxed structure of Y2GaTeOs, as listed in Alexandria.

Properties
The electronic total energy comes out at -5.94 eV/atom. The space group is No. 123. Its density of states at the Fermi level is 4.1 states/eV per cell. The formation energy from raw total energies is 2.98 kcal/mol of atoms.

abc: 5.4480 5.4480 4.5503
angles: 90.00 90.00 90.00
Fractional positions:
Y 0.0000 0.5000 0.0000
Y 0.5000 0.0000 0.0000
Ga 0.0000 0.0000 0.0000
Te 0.5000 0.5000 0.5000
Os 0.0000 0.0000 0.5000

---

# 4
First-principles (PBE) data for a relaxed structure of ZnGa2TeOs, as listed in Alexandria.

Properties
The electronic total energy comes out at -3.00 eV/atom. The space group is No. 123. Its density of states at the Fermi level is 5.9 states/eV per cell. The formation energy from raw total energies is 30.86 kcal/mol of atoms.

abc: 5.5456 5.5456 4.9030
angles: 90.00 90.00 90.00
Fractional positions:
Zn 0.0000 0.0000 0.0000
Ga 0.0000 0.5000 0.5000
Ga 0.5000 0.0000 0.5000
Te 0.5000 0.5000 0.5000
Os 0.5000 0.5000 0.0000

---

# 5
First-principles (PBE) data for a relaxed structure of Zn2GaTeOs, as listed in Alexandria.

Properties
The electronic total energy comes out at -2.33 eV/atom. The space group is No. 123. Its density of states at the Fermi level is 6.5 states/eV per cell. The formation energy from raw total energies is 38.32 kcal/mol of atoms.

abc: 5.0678 5.0678 5.4478
angles: 90.00 90.00 90.00
Fractional positions:
Zn 0.0000 0.5000 0.0000
Zn 0.5000 0.0000 0.0000
Ga 0.0000 0.0000 0.5000
Te 0.0000 0.0000 0.0000
Os 0.5000 0.5000 0.5000

---

# 6
First-principles (PBE) data for a relaxed structure of ThGa8Os4, as listed in Alexandria.

Properties
The electronic total energy comes out at -6.03 eV/atom. Its formation energy is -0.1385 eV/atom. The space group is No. 139. Its density of states at the Fermi level is 9.9 states/eV per cell.

abc: 6.8585 6.8585 6.8585
angles: 98.89 98.89 133.71
Fractional positions:
Th 0.0000 0.0000 0.0000
Ga 0.0000 0.3529 0.3529
Ga 0.0000 0.6471 0.6471
Ga 0.2868 0.5000 0.7868
Ga 0.3529 0.0000 0.3529
Ga 0.5000 0.2868 0.7868
Ga 0.5000 0.7132 0.2132
Ga 0.6471 0.0000 0.6471
Ga 0.7132 0.5000 0.2132
Os 0.0000 0.0000 0.5000
Os 0.0000 0.5000 0.0000
Os 0.5000 0.0000 0.0000
Os 0.5000 0.5000 0.5000

---

# 7
First-principles (PBE) data for a relaxed structure of Th3Ga2Os3, as listed in Alexandria.

Properties
The electronic total energy comes out at -8.11 eV/atom. Its formation energy is -0.3640 eV/atom. The space group is No. 63. Its density of states at the Fermi level is 12.9 states/eV per cell.

abc: 5.8392 5.8392 14.7795
angles: 90.00 90.00 136.57
Fractional positions:
Th 0.0919 0.9081 0.6145
Th 0.0919 0.9081 0.8855
Th 0.3681 0.6319 0.7500
Th 0.6319 0.3681 0.2500
Th 0.9081 0.0919 0.1145
Th 0.9081 0.0919 0.3855
Ga 0.2053 0.7947 0.0940
Ga 0.2053 0.7947 0.4060
Ga 0.7947 0.2053 0.5940
Ga 0.7947 0.2053 0.9060
Os 0.3401 0.6599 0.2500
Os 0.3949 0.6051 0.5278
Os 0.3949 0.6051 0.9722
Os 0.6051 0.3949 0.0278
Os 0.6051 0.3949 0.4722
Os 0.6599 0.3401 0.7500

---

# 8
First-principles (PBE) data for a relaxed structure of Th2Ga2Os3, as listed in Alexandria.

Properties
The electronic total energy comes out at -8.07 eV/atom. Its formation energy is -0.2718 eV/atom. The space group is No. 12. Its density of states at the Fermi level is 3.6 states/eV per cell.

abc: 5.5598 5.5598 6.2762
angles: 103.06 103.06 47.23
Fractional positions:
Th 0.1303 0.1303 0.3068
Th 0.8697 0.8697 0.6932
Ga 0.3990 0.3990 0.0877
Ga 0.6010 0.6010 0.9123
Os 0.1734 0.1734 0.8002
Os 0.5000 0.5000 0.5000
Os 0.8266 0.8266 0.1998

---

# 9
First-principles (PBE) data for a relaxed structure of Th12Ga6Os, as listed in Alexandria.

Properties
The electronic total energy comes out at -6.40 eV/atom. Its formation energy is -0.1643 eV/atom. The space group is No. 148. Its density of states at the Fermi level is 19.1 states/eV per cell.

abc: 8.1797 8.1797 8.1797
angles: 93.60 93.60 93.60
Fractional positions:
Th 0.0418 0.9317 0.6918
Th 0.0683 0.3082 0.9582
Th 0.1699 0.4092 0.5304
Th 0.3082 0.9582 0.0683
Th 0.4092 0.5304 0.1699
Th 0.4696 0.8301 0.5908
Th 0.5304 0.1699 0.4092
Th 0.5908 0.4696 0.8301
Th 0.6918 0.0418 0.9317
Th 0.8301 0.5908 0.4696
Th 0.9317 0.6918 0.0418
Th 0.9582 0.0683 0.3082
Ga 0.1597 0.7597 0.3544
Ga 0.2403 0.6456 0.8403
Ga 0.3544 0.1597 0.7597
Ga 0.6456 0.8403 0.2403
Ga 0.7597 0.3544 0.1597
Ga 0.8403 0.2403 0.6456
Os 0.5000 0.5000 0.5000

---

# 10
First-principles (PBE) data for a relaxed structure of Th3Ga9Os2, as listed in Alexandria.

Properties
The electronic total energy comes out at -5.57 eV/atom. Its formation energy is -0.4287 eV/atom. The space group is No. 71. Its density of states at the Fermi level is 7.7 states/eV per cell.

abc: 8.2864 8.2864 8.2864
angles: 149.43 106.57 81.59
Fractional positions:
Th 0.0000 0.0000 0.0000
Th 0.3258 0.3258 0.0000
Th 0.6742 0.6742 0.0000
Ga 0.0360 0.6676 0.3685
Ga 0.1530 0.8746 0.2784
Ga 0.2991 0.6676 0.6315
Ga 0.4038 0.1254 0.2784
Ga 0.5000 0.0000 0.5000
Ga 0.5962 0.8746 0.7216
Ga 0.7009 0.3324 0.3685
Ga 0.8470 0.1254 0.7216
Ga 0.9640 0.3324 0.6315
Os 0.2829 0.5000 0.7829
Os 0.7171 0.5000 0.2171

---

# 11
First-principles (PBE) data for a relaxed structure of ThGaOs, as listed in Alexandria.

Properties
The electronic total energy comes out at -7.57 eV/atom. Its formation energy is -0.3413 eV/atom. The space group is No. 187. Its density of states at the Fermi level is 2.2 states/eV per cell.

abc: 4.4058 4.4058 3.8292
angles: 90.00 90.00 120.00
Fractional positions:
Th 0.0000 0.0000 0.0000
Ga 0.3333 0.6667 0.5000
Os 0.6667 0.3333 0.5000

---

# 12
First-principles (PBE) data for a relaxed structure of Th2Ga3Os, as listed in Alexandria.

Properties
The electronic total energy comes out at -6.35 eV/atom. Its formation energy is -0.4880 eV/atom. The space group is No. 8. Its density of states at the Fermi level is 5.0 states/eV per cell.

abc: 5.7478 5.7478 7.2988
angles: 126.98 126.98 45.05
Fractional positions:
Th 0.0000 0.0000 0.0000
Th 0.1062 0.1062 0.6182
Ga 0.3806 0.3806 0.2017
Ga 0.3952 0.3952 0.6104
Ga 0.7242 0.7242 0.3926
Os 0.7138 0.7138 0.9865

---

# 13
First-principles (PBE) data for a relaxed structure of Th3Ga4Os2, as listed in Alexandria.

Properties
The electronic total energy comes out at -6.82 eV/atom. Its formation energy is -0.5078 eV/atom. The space group is No. 12. Its density of states at the Fermi level is 6.9 states/eV per cell.

abc: 6.0665 6.0665 8.7527
angles: 110.94 110.94 41.01
Fractional positions:
Th 0.0000 0.0000 0.0000
Th 0.3130 0.3130 0.3646
Th 0.6870 0.6870 0.6354
Ga 0.0168 0.0168 0.3558
Ga 0.2566 0.2566 0.9208
Ga 0.7434 0.7434 0.0792
Ga 0.9832 0.9832 0.6442
Os 0.3889 0.3889 0.7340
Os 0.6111 0.6111 0.2660

---

# 14
First-principles (PBE) data for a relaxed structure of Th3Ga2Os, as listed in Alexandria.

Properties
The electronic total energy comes out at -6.82 eV/atom. Its formation energy is -0.2338 eV/atom. The space group is No. 12. Its density of states at the Fermi level is 6.7 states/eV per cell.

abc: 7.9169 7.9169 3.9308
angles: 104.27 104.27 43.98
Fractional positions:
Th 0.0000 0.0000 0.0000
Th 0.3575 0.3575 0.3615
Th 0.6425 0.6425 0.6385
Ga 0.1819 0.1819 0.6912
Ga 0.8181 0.8181 0.3088
Os 0.5000 0.5000 0.0000

---

# 15
First-principles (PBE) data for a relaxed structure of ThGa4Os, as listed in Alexandria.

Properties
The electronic total energy comes out at -5.55 eV/atom. Its formation energy is -0.4208 eV/atom. The space group is No. 51. Its density of states at the Fermi level is 3.6 states/eV per cell.

abc: 7.6509 4.2246 7.0398
angles: 90.00 90.00 90.00
Fractional positions:
Th 0.2500 0.0000 0.1353
Th 0.7500 0.0000 0.8647
Ga 0.0000 0.0000 0.5000
Ga 0.0651 0.5000 0.8222
Ga 0.2500 0.5000 0.4651
Ga 0.4349 0.5000 0.8222
Ga 0.5000 0.0000 0.5000
Ga 0.5651 0.5000 0.1778
Ga 0.7500 0.5000 0.5349
Ga 0.9349 0.5000 0.1778
Os 0.2500 0.0000 0.7137
Os 0.7500 0.0000 0.2863

---

# 16
First-principles (PBE) data for a relaxed structure of Th2Ga3Os, as listed in Alexandria.

Properties
The electronic total energy comes out at -6.36 eV/atom. Its formation energy is -0.5018 eV/atom. The space group is No. 69. Its density of states at the Fermi level is 10.1 states/eV per cell.

abc: 8.8032 8.5234 5.9249
angles: 72.57 67.48 39.95
Fractional positions:
Th 0.2341 0.7659 0.7659
Th 0.2500 0.2500 0.2500
Th 0.7500 0.7500 0.7500
Th 0.7659 0.2341 0.2341
Ga 0.1696 0.6628 0.3372
Ga 0.3305 0.3305 0.6695
Ga 0.3372 0.8304 0.1696
Ga 0.6628 0.1696 0.8304
Ga 0.6695 0.6695 0.3305
Ga 0.8304 0.3372 0.6628
Os 0.1608 0.1608 0.8392
Os 0.8392 0.8392 0.1608

---

# 17
First-principles (PBE) data for a relaxed structure of ThGa3Os2, as listed in Alexandria.

Properties
The electronic total energy comes out at -6.79 eV/atom. Its formation energy is -0.2951 eV/atom. The space group is No. 63. Its density of states at the Fermi level is 7.0 states/eV per cell.

abc: 6.1577 6.1577 5.8096
angles: 90.00 90.00 82.30
Fractional positions:
Th 0.1441 0.8559 0.7500
Th 0.8559 0.1441 0.2500
Ga 0.0592 0.6108 0.2500
Ga 0.3892 0.9408 0.2500
Ga 0.4796 0.5204 0.2500
Ga 0.5204 0.4796 0.7500
Ga 0.6108 0.0592 0.7500
Ga 0.9408 0.3892 0.7500
Os 0.2733 0.2733 0.0000
Os 0.2733 0.2733 0.5000
Os 0.7267 0.7267 0.0000
Os 0.7267 0.7267 0.5000

---

# 18
First-principles (PBE) data for a relaxed structure of ThGa2Os, as listed in Alexandria.

Properties
The electronic total energy comes out at -6.62 eV/atom. Its formation energy is -0.4443 eV/atom. The space group is No. 11. Its density of states at the Fermi level is 3.7 states/eV per cell.

abc: 4.3389 7.1973 5.3528
angles: 90.00 109.35 90.00
Fractional positions:
Th 0.0500 0.2500 0.1548
Th 0.9500 0.7500 0.8452
Ga 0.3874 0.0539 0.7162
Ga 0.3874 0.4461 0.7162
Ga 0.6126 0.5539 0.2838
Ga 0.6126 0.9461 0.2838
Os 0.1571 0.7500 0.3991
Os 0.8429 0.2500 0.6009

---

# 19
First-principles (PBE) data for a relaxed structure of Th7Ga2Os2, as listed in Alexandria.

Properties
The electronic total energy comes out at -7.47 eV/atom. Its formation energy is -0.1568 eV/atom. The space group is No. 65. Its density of states at the Fermi level is 9.8 states/eV per cell.

abc: 6.8734 6.8734 6.9674
angles: 90.00 90.00 105.71
Fractional positions:
Th 0.0000 0.0000 0.0000
Th 0.0000 0.5000 0.2679
Th 0.0000 0.5000 0.7321
Th 0.5000 0.0000 0.2679
Th 0.5000 0.0000 0.7321
Th 0.5000 0.5000 0.2640
Th 0.5000 0.5000 0.7360
Ga 0.1579 0.1579 0.5000
Ga 0.8421 0.8421 0.5000
Os 0.2832 0.7168 0.0000
Os 0.7168 0.2832 0.0000

---

# 20
First-principles (PBE) data for a relaxed structure of ThGa2Os, as listed in Alexandria.

Properties
The electronic total energy comes out at -6.50 eV/atom. Its formation energy is -0.3221 eV/atom. The space group is No. 166. Its density of states at the Fermi level is 3.5 states/eV per cell.

abc: 5.6459 5.6459 5.6459
angles: 44.76 44.76 44.76
Fractional positions:
Th 0.0000 0.0000 0.0000
Ga 0.2134 0.2134 0.2134
Ga 0.7866 0.7866 0.7866
Os 0.5000 0.5000 0.5000

---

These records have volume values of 24.2, 23.5, 27.0, 30.2, 28.0, 16.5, 21.7, 19.7, 28.6, 19.4, 21.5, 21.6, 21.7, 27.5, 19.0, 22.0, 18.2, 19.7, 28.8, 20.3 A^3/atom, in the order they appear.